1.
The following is a DFT calculation (PBE) of AcSi2PbO6 after structural relaxation.

formation energy without anion corrections = -2263 meV/atom
density of states at the Fermi level = 0.15 states/eV per atom
total moment = 1.0 μB per cell

abc: 5.6290 5.6290 7.2560
angles: 67.18 67.18 60.00
Each line ends with the local moment (μB).
Element x y z (fractional)
O 0.5275 0.2447 0.2661  0.04
O 0.2447 0.9616 0.2661  0.04
Si 0.7429 0.7429 0.7713  0.06
O 0.7553 0.0384 0.7339  0.04
Pb 0.0000 0.0000 0.0000  0.06
O 0.9616 0.5275 0.2661  0.04
O 0.4725 0.7553 0.7339  0.04
Ac 0.5000 0.5000 0.5000  0.02
O 0.0384 0.4725 0.7339  0.04
Si 0.2571 0.2571 0.2287  0.06

---

2.
The following is a DFT calculation (PBE) of La3CrFe after structural relaxation.

energy relative to the elements = 328 meV per atom
density of states at the Fermi level = 1.09 states/eV per atom
total moment = 4.5 μB per cell

abc: 5.2976 5.2976 5.2976
angles: 90.00 90.00 90.00
Each line ends with the local moment (μB).
Element x y z (fractional)
La 0.0000 0.0000 0.5000  0.03
La 0.5000 0.0000 0.0000  0.04
Cr 0.5000 0.5000 0.5000  -3.95
Fe 0.0000 0.0000 0.0000  -0.12
La 0.0000 0.5000 0.0000  0.03

---

3.
The following is a DFT calculation (PBE) of Ba3Sr6Ac2 after structural relaxation.

energy relative to the elements = 46 meV per atom
density of states at the Fermi level = 1.55 states/eV per atom
total moment = 0.0 μB per cell

abc: 4.2188 4.2188 38.6118
angles: 86.87 86.87 60.00
Element x y z (fractional)
Ac 0.4560 0.4560 0.6318
Sr 0.3646 0.3646 0.9063
Sr 0.0939 0.0939 0.7184
Sr 0.9061 0.9061 0.2816
Sr 0.1818 0.1818 0.4546
Ac 0.5440 0.5440 0.3682
Sr 0.6354 0.6354 0.0937
Ba 0.2709 0.2709 0.1872
Ba 0.0000 0.0000 0.0000
Sr 0.8182 0.8182 0.5454
Ba 0.7291 0.7291 0.8128